No. 1
10
Lattice="8.3958 0.0000 0.0000 0.0000 8.3958 0.0000 4.1979 4.1979 6.4415" Properties=species:S:1:pos:R:3 comment="Rb2HfGeI6 | the Alexandria database | PBE | relaxed" dft_energy_ev_per_atom=-3.329 sg=I4/mmm magmom_total_mub_per_fu=2.0 pbc="T T T"
I 2.0469 2.0469 0.0000
I 4.1979 4.1979 3.5450
I 8.3958 8.3958 2.8965
I 6.3489 2.0469 0.0000
I 6.3489 6.3489 0.0000
I 2.0469 6.3489 0.0000
Rb 8.3958 4.1979 3.2207
Rb 4.1979 8.3958 3.2207
Ge 4.1979 4.1979 0.0000
Hf 0.0000 0.0000 0.0000



No. 2
9
Lattice="-0.4677 0.2945 -3.4753 5.2461 -1.8456 -2.6440 -13.5595 -11.4836 -0.9299" Properties=species:S:1:pos:R:3 comment="Pr6Sm2Th | the Alexandria database | PBE | relaxed" dft_energy_ev_per_atom=-4.871 sg=C2/m magmom_total_mub_per_fu=0.0 delta_e_f_ev_per_atom=0.19 relative_energy_kj_per_mol_atoms=11.65 pbc="T T T"
Pr -7.2037 -7.2742 -1.4285
Pr -11.9445 -10.9882 -2.8868
Pr -3.1517 -3.2211 -3.4120
Pr 3.1634 -2.0465 -4.1623
Pr -1.5774 -5.7606 -5.6206
Pr -5.6294 -9.8137 -3.6372
Th -4.3906 -6.5174 -3.5246
Sm 0.2478 -2.7620 -2.0490
Sm -9.0289 -10.2728 -5.0002



No. 3
4
Lattice="-4.2143 -1.2323 -2.3184 -0.0945 -3.8992 -3.0727 -2.4338 -4.1277 1.3011" Properties=species:S:1:pos:R:3 comment="BaNi2Se | the Alexandria database | PBE | relaxed" dft_energy_ev_per_atom=-3.950 sg=F-43m magmom_total_mub_per_fu=0.8 pbc="T T T"
Ni 0.0000 0.0000 0.0000
Ni -1.6856 -2.3148 -1.0225
Ba -3.3713 -4.6296 -2.0450
Se -5.0569 -6.9444 -3.0675



No. 4
6
Lattice="-4.4013 0.7031 0.7912 1.3370 -3.7191 -2.2072 0.9240 -5.7517 10.2512" Properties=species:S:1:pos:R:3 comment="Hg2Se | the Alexandria database | PBE | relaxed" dft_energy_ev_per_atom=-1.355 sg=P6_3/mmc magmom_total_mub_per_fu=0.0 relative_energy_kj_per_mol_atoms=9.63 pbc="T T T"
Hg 0.0000 0.0000 0.0000
Hg 0.4620 -2.8759 5.1256
Hg -1.7956 -5.0848 7.4801
Hg -0.3448 -3.6830 1.3550
Se 0.1172 -6.5589 6.4806
Se -2.2575 -2.2089 2.3545



No. 5
4
Lattice="5.0819 0.0000 0.0000 0.0000 4.4303 0.0000 0.0000 0.0000 4.4303" Properties=species:S:1:pos:R:3 comment="PaHg2Sb | the Alexandria database | PBE | relaxed" dft_energy_ev_per_atom=-3.747 sg=P4/mmm magmom_total_mub_per_fu=0.6 relative_energy_kj_per_mol_atoms=0.00 pbc="T T T"
Sb 2.5410 0.0000 0.0000
Hg 0.0000 0.0000 2.2151
Hg 0.0000 2.2151 0.0000
Pa 2.5410 2.2151 2.2151



No. 6
16
Lattice="-2.6294 4.5255 -0.9745 -3.6870 -1.2147 4.3074 3.9625 3.2287 4.3022" Properties=species:S:1:pos:R:3 comment="Mg2GaMoN4 | the Alexandria database | PBE | relaxed" dft_energy_ev_per_atom=-6.852 sg=Pmn2_1 magmom_total_mub_per_fu=1.0 pbc="T T T"
Mg -2.0945 6.1155 5.1361
Mg -1.5316 2.6434 2.0360
Mg -4.0875 4.4915 2.9722
Mg 0.4379 4.2482 4.1742
Mo -3.2351 4.3118 -0.2562
Mo -2.4009 2.8524 5.2581
N -0.5321 6.0929 3.7202
N -3.3717 4.4827 4.9287
N -5.4410 2.8951 2.8387
N -2.5298 4.4652 1.5512
N -2.5641 1.7660 3.6516
N 0.4780 3.1108 2.4126
N -0.5993 3.3669 5.7848
N -1.5371 1.4296 0.3428
Ga -1.2189 5.9368 1.8547
Ga -4.4163 1.2260 3.1475



No. 7
5
Lattice="4.4616 0.0000 0.0000 0.0000 4.4616 0.0000 0.0000 0.0000 4.4616" Properties=species:S:1:pos:R:3 comment="Ti3FeAu | the Alexandria database | PBE | relaxed" dft_energy_ev_per_atom=-6.937 sg=Pm-3m magmom_total_mub_per_fu=0.0 delta_e_f_ev_per_atom=0.15 pbc="T T T"
Au 2.2308 2.2308 2.2308
Ti 0.0000 0.0000 2.2308
Ti 2.2308 0.0000 0.0000
Ti 0.0000 2.2308 0.0000
Fe 0.0000 0.0000 0.0000



No. 8
10
Lattice="-4.8793 0.0877 3.9476 -0.2278 -6.2711 -0.1423 9.4569 2.6470 6.6398" Properties=species:S:1:pos:R:3 comment="CaTlPb3 | the Alexandria database | PBE | relaxed" dft_energy_ev_per_atom=-3.066 sg=I-4m2 magmom_total_mub_per_fu=0.0 delta_e_f_ev_per_atom=0.03 relative_energy_kj_per_mol_atoms=11.36 pbc="T T T"
Pb 1.5873 -1.7002 1.9997
Pb 1.4753 -4.7828 1.9297
Pb -1.4545 -3.1625 3.2627
Pb 6.3434 -3.4958 5.4652
Pb 5.8042 -0.3739 7.1824
Pb 3.9450 -3.4527 7.4057
Ca 4.0258 -0.3727 9.9744
Ca -2.0017 0.0156 2.5157
Tl 3.3377 -3.3579 4.2000
Tl 0.0000 0.0000 0.0000



No. 9
5
Lattice="-3.8014 -0.8117 2.4802 2.0568 -3.7876 1.9128 1.6629 2.6238 3.4075" Properties=species:S:1:pos:R:3 comment="MgCr2ReBr | the Alexandria database | PBE | relaxed" dft_energy_ev_per_atom=-5.399 sg=P4/mmm magmom_total_mub_per_fu=4.3 pbc="T T T"
Re -0.0408 -0.9878 3.9002
Cr -1.9007 -0.4059 1.2401
Cr 0.8315 1.3119 1.7037
Mg 1.0284 -1.8938 0.9564
Br 0.0000 0.0000 0.0000



No. 10
4
Lattice="2.7506 0.0000 0.0000 0.0000 4.0294 0.0000 0.0000 0.0000 5.4770" Properties=species:S:1:pos:R:3 comment="RuPt2W | the Alexandria database | PBE | relaxed" dft_energy_ev_per_atom=-8.678 sg=Pmmm magmom_total_mub_per_fu=0.0 delta_e_f_ev_per_atom=-0.10 relative_energy_kj_per_mol_atoms=8.80 pbc="T T T"
Ru 1.3753 2.0147 1.3693
Pt 0.0000 0.0000 2.7409
Pt 0.0000 0.0000 5.4747
W 1.3753 2.0147 4.1078



No. 11
6
Lattice="-1.5355 -4.0606 3.5161 5.3695 -3.3779 -1.5561 2.6514 3.3029 4.9723" Properties=species:S:1:pos:R:3 comment="LaTbTl | the Alexandria database | PBE | relaxed" dft_energy_ev_per_atom=-3.449 sg=Cmmm magmom_total_mub_per_fu=0.4 delta_e_f_ev_per_atom=0.53 relative_energy_kj_per_mol_atoms=76.83 pbc="T T T"
Tl 5.3680 -0.0502 2.2863
Tl 2.6529 -0.0248 1.1299
La 2.3554 0.1132 5.5974
La 4.1301 -4.2488 1.3349
Tb 3.2427 -2.0678 3.4662
Tb 0.0000 0.0000 0.0000



No. 12
8
Lattice="7.5916 0.0019 -0.0005 0.0020 7.5913 -0.0005 -3.7969 -3.7967 5.3496" Properties=species:S:1:pos:R:3 comment="AlIn2Br5 | the Alexandria database | PBE | relaxed" dft_energy_ev_per_atom=-3.057 sg=I4mm magmom_total_mub_per_fu=0.0 relative_energy_kj_per_mol_atoms=5.33 pbc="T T T"
Br 5.8792 1.7140 0.3475
Br 1.7142 5.8790 0.3475
Br 5.8802 5.8800 0.3469
Br 3.7951 3.7949 2.8054
Br 1.7132 1.7131 0.3442
In 3.7959 0.0034 2.1589
In 0.0036 3.7958 2.1589
Al 3.7959 3.7957 5.1489